(1)
This record from the Alexandria database describes a geometry-optimized ScAl3Cu structure. The functional is PBE.

Cell lengths 12.038, 12.038, 3.484 Å; angles 90.00, 90.00, 159.50 degrees
Atoms (fractional coordinates):
Sc 0.167 0.833 0.000
Sc 0.833 0.167 0.000
Al 0.058 0.942 0.500
Al 0.278 0.722 0.500
Al 0.447 0.553 0.000
Al 0.553 0.447 0.000
Al 0.722 0.278 0.500
Al 0.942 0.058 0.500
Cu 0.378 0.622 0.500
Cu 0.622 0.378 0.500

- Energy of formation: -244 meV per atom
- Energy above the lowest structure with this stoichiometry: 0 meV per atom
- Crystal system: orthorhombic
- Fermi-level density of states: 5.47 states/eV/cell
- SG: Cmmm
- Final energy: -45.8 eV for the cell shown

***

(2)
This record from the Alexandria database describes a geometry-optimized Cr2CoCu2S6 structure. The functional is PBE.

Cell lengths 5.829, 5.829, 6.911 Å; angles 96.75, 96.75, 118.05 degrees
Atoms (fractional coordinates):
Cr 0.149 0.851 0.000
Cr 0.851 0.149 0.000
Co 0.500 0.500 0.000
Cu 0.353 0.647 0.500
Cu 0.647 0.353 0.500
S 0.138 0.138 0.800
S 0.225 0.551 0.183
S 0.449 0.775 0.817
S 0.551 0.225 0.183
S 0.775 0.449 0.817
S 0.862 0.862 0.200

- Formation energy without anion corrections: -0.42 eV per atom
- Crystal system: monoclinic
- Fermi-level density of states: 0.70 states/eV/cell
- SG: C2/m
- Final energy: -64.0 eV for the cell shown

***

(3)
This record from the Alexandria database describes a geometry-optimized Mg8Sb structure. The functional is PBE.

Cell lengths 7.202, 7.202, 7.202 Å; angles 95.48, 95.48, 144.01 degrees
Atoms (fractional coordinates):
Mg 0.000 0.336 0.336
Mg 0.000 0.664 0.664
Mg 0.332 0.332 0.664
Mg 0.332 0.668 0.000
Mg 0.336 0.000 0.336
Mg 0.664 0.000 0.664
Mg 0.668 0.332 0.000
Mg 0.668 0.668 0.336
Sb 0.000 0.000 0.000

- Formation energy without anion corrections: -0.06 eV per atom
- Crystal system: tetragonal
- Fermi-level density of states: 4.39 states/eV/cell
- SG: I4/mmm
- Final energy: -17.4 eV for the cell shown

***

(4)
This record from the Alexandria database describes a geometry-optimized Ru3Se structure. The functional is PBE.

Cell lengths 2.821, 4.740, 9.071 Å; angles 90.00, 90.00, 90.00 degrees
Atoms (fractional coordinates):
Ru 0.000 0.000 0.000
Ru 0.000 0.500 0.247
Ru 0.000 0.500 0.753
Ru 0.500 0.000 0.247
Ru 0.500 0.000 0.753
Ru 0.500 0.500 0.000
Se 0.000 0.000 0.500
Se 0.500 0.500 0.500

- Formation energy without anion corrections: 0.66 eV per atom
- Crystal system: orthorhombic
- Fermi-level density of states: 13.05 states/eV/cell
- SG: Cmmm
- Final energy: -57.4 eV for the cell shown

***

Q: The lowest Fermi-level density of states belongs to which entry?
A: Cr2CoCu2S6

***

Q: final energy of number 2 (Cr2CoCu2S6)?
A: -64.0 eV for the cell shown

***

Copy entry 1 word for word.
This record from the Alexandria database describes a geometry-optimized ScAl3Cu structure. The functional is PBE.

Cell lengths 12.038, 12.038, 3.484 Å; angles 90.00, 90.00, 159.50 degrees
Atoms (fractional coordinates):
Sc 0.167 0.833 0.000
Sc 0.833 0.167 0.000
Al 0.058 0.942 0.500
Al 0.278 0.722 0.500
Al 0.447 0.553 0.000
Al 0.553 0.447 0.000
Al 0.722 0.278 0.500
Al 0.942 0.058 0.500
Cu 0.378 0.622 0.500
Cu 0.622 0.378 0.500

- Energy of formation: -244 meV per atom
- Energy above the lowest structure with this stoichiometry: 0 meV per atom
- Crystal system: orthorhombic
- Fermi-level density of states: 5.47 states/eV/cell
- SG: Cmmm
- Final energy: -45.8 eV for the cell shown